No. 1
{
  "formula": "MnCoNi2",
  "functional": "GGA-PBE",
  "state": "relaxed",
  "vol_a3_per_atom": 11.40,
  "total_energy_ev_per_cell": -27.692,
  "cell": [[4.402, -0.039, 0.058], [3.663, 2.441, 0.058], [0.766, 0.228, 4.199]],
  "species": ["Mn", "Ni", "Ni", "Co"],
  "frac_coords": [[0.250, 0.250, 0.250], [0.003, 0.003, 0.993], [0.497, 0.497, 0.507], [0.750, 0.750, 0.750]]
}

No. 2
{
  "formula": "Ba3Ga2S6",
  "functional": "GGA-PBE",
  "state": "relaxed",
  "vol_a3_per_atom": 28.05,
  "raw_formation_energy_mev_per_atom": -1522,
  "cell": [[-3.620, -4.689, -6.260], [8.180, 2.350, -1.356], [3.030, -7.789, 3.890]],
  "species": ["S", "S", "S", "S", "S", "S", "S", "S", "S", "S", "S", "S", "Ba", "Ba", "Ba", "Ba", "Ba", "Ba", "Ga", "Ga", "Ga", "Ga"],
  "frac_coords": [[0.631, 0.730, 0.668], [0.081, 0.798, 0.460], [0.088, 0.471, 0.165], [0.730, 0.631, 0.168], [0.912, 0.529, 0.835], [0.471, 0.088, 0.665], [0.369, 0.270, 0.332], [0.919, 0.202, 0.540], [0.798, 0.081, 0.960], [0.202, 0.919, 0.040], [0.270, 0.369, 0.832], [0.529, 0.912, 0.335], [0.266, 0.541, 0.509], [0.459, 0.734, 0.991], [0.541, 0.266, 0.009], [0.734, 0.459, 0.491], [0.965, 0.035, 0.250], [0.035, 0.965, 0.750], [0.346, 0.020, 0.432], [0.020, 0.346, 0.932], [0.980, 0.654, 0.068], [0.654, 0.980, 0.568]]
}

No. 3
{
  "formula": "Pm12Y3Th",
  "functional": "GGA-PBE",
  "state": "relaxed",
  "vol_a3_per_atom": 33.87,
  "total_energy_ev_per_cell": -83.429,
  "cell": [[5.138, 0.000, 0.000], [0.000, 5.138, 0.000], [0.000, 0.000, 20.526]],
  "species": ["Pm", "Pm", "Pm", "Pm", "Pm", "Pm", "Pm", "Pm", "Pm", "Pm", "Pm", "Pm", "Th", "Y", "Y", "Y"],
  "frac_coords": [[0.500, 0.500, 0.252], [0.500, 0.500, 0.748], [0.000, 0.500, 0.123], [0.500, 0.500, 0.000], [0.500, 0.000, 0.877], [0.000, 0.500, 0.877], [0.500, 0.000, 0.625], [0.500, 0.000, 0.375], [0.000, 0.500, 0.625], [0.500, 0.000, 0.123], [0.500, 0.500, 0.500], [0.000, 0.500, 0.375], [0.000, 0.000, 0.000], [0.000, 0.000, 0.500], [0.000, 0.000, 0.750], [0.000, 0.000, 0.250]]
}

No. 4
{
  "formula": "K3Pm3TmO8",
  "functional": "GGA-PBE",
  "state": "relaxed",
  "vol_a3_per_atom": 18.62,
  "raw_formation_energy_mev_per_atom": -2658,
  "cell": [[-3.193, -5.741, 2.794], [4.267, 4.040, 4.056], [-6.736, 2.785, -1.975]],
  "species": ["Pm", "Pm", "Pm", "K", "K", "K", "O", "O", "O", "O", "O", "O", "O", "O", "Tm"],
  "frac_coords": [[0.500, 0.500, 0.500], [0.000, 0.500, 0.500], [0.500, 0.000, 0.500], [0.500, 0.500, 0.000], [0.000, 0.500, 0.000], [0.000, 0.000, 0.000], [0.271, 0.541, 0.312], [0.783, 0.565, 0.322], [0.743, 0.960, 0.678], [0.729, 0.459, 0.688], [0.257, 0.040, 0.322], [0.217, 0.435, 0.678], [0.782, 0.040, 0.322], [0.218, 0.960, 0.678], [0.000, 0.000, 0.500]]
}

No. 5
{
  "formula": "LiTm2ZnO5",
  "functional": "GGA-PBE",
  "state": "relaxed",
  "vol_a3_per_atom": 11.04,
  "raw_formation_energy_mev_per_atom": -2510,
  "cell": [[-1.897, 0.661, -2.570], [3.821, -5.069, -2.055], [-6.416, -6.118, 3.162]],
  "species": ["O", "O", "O", "O", "O", "O", "O", "O", "O", "O", "Li", "Li", "Tm", "Tm", "Tm", "Tm", "Zn", "Zn"],
  "frac_coords": [[0.056, 0.113, 0.074], [0.495, 0.989, 0.773], [0.944, 0.887, 0.574], [0.285, 0.570, 0.673], [0.632, 0.264, 0.503], [0.320, 0.639, 0.349], [0.680, 0.361, 0.849], [0.715, 0.430, 0.173], [0.368, 0.736, 0.003], [0.505, 0.011, 0.273], [0.788, 0.575, 0.504], [0.212, 0.425, 0.004], [0.860, 0.720, 0.793], [0.886, 0.771, 0.184], [0.140, 0.280, 0.293], [0.114, 0.229, 0.684], [0.541, 0.083, 0.970], [0.459, 0.917, 0.470]]
}

No. 6
{
  "formula": "MgZnI4",
  "functional": "GGA-PBE",
  "state": "relaxed",
  "vol_a3_per_atom": 37.73,
  "raw_formation_energy_mev_per_atom": -748,
  "cell": [[-0.053, -3.350, 2.421], [4.574, 3.221, 4.558], [-11.633, 5.833, 7.817]],
  "species": ["Zn", "Zn", "Mg", "Mg", "I", "I", "I", "I", "I", "I", "I", "I"],
  "frac_coords": [[0.500, 0.500, 0.500], [0.000, 0.000, 0.000], [0.500, 0.500, 0.000], [0.000, 0.000, 0.500], [0.000, 0.336, 0.608], [0.500, 0.174, 0.390], [0.000, 0.674, 0.890], [0.500, 0.164, 0.892], [0.000, 0.326, 0.110], [0.000, 0.664, 0.392], [0.500, 0.836, 0.108], [0.500, 0.826, 0.610]]
}

No. 7
{
  "formula": "Sr2PdBr6",
  "functional": "GGA-PBE",
  "state": "relaxed",
  "vol_a3_per_atom": 38.28,
  "raw_formation_energy_mev_per_atom": -1382,
  "cell": [[7.358, 0.000, 0.000], [0.000, 7.358, 0.000], [0.000, 0.000, 12.725]],
  "species": ["Pd", "Pd", "Sr", "Sr", "Sr", "Sr", "Br", "Br", "Br", "Br", "Br", "Br", "Br", "Br", "Br", "Br", "Br", "Br"],
  "frac_coords": [[0.500, 0.500, 0.500], [0.000, 0.000, 0.000], [0.500, 0.500, 0.834], [0.000, 0.000, 0.666], [0.500, 0.500, 0.166], [0.000, 0.000, 0.334], [0.828, 0.172, 0.139], [0.828, 0.172, 0.861], [0.695, 0.695, 0.000], [0.805, 0.195, 0.500], [0.305, 0.305, 0.000], [0.195, 0.805, 0.500], [0.672, 0.672, 0.361], [0.328, 0.328, 0.361], [0.328, 0.328, 0.639], [0.172, 0.828, 0.139], [0.172, 0.828, 0.861], [0.672, 0.672, 0.639]]
}

No. 8
{
  "formula": "NaCrAsSe2",
  "functional": "GGA-PBE",
  "state": "relaxed",
  "vol_a3_per_atom": 23.45,
  "raw_formation_energy_mev_per_atom": 1518,
  "cell": [[-4.257, 2.582, -0.200], [-1.678, -2.483, 3.649], [1.890, 3.361, 3.157]],
  "species": ["Se", "Se", "Na", "Cr", "As"],
  "frac_coords": [[0.000, 0.000, 0.500], [0.500, 0.000, 0.000], [0.000, 0.000, 0.000], [0.000, 0.500, 0.000], [0.500, 0.500, 0.500]]
}

No. 9
{
  "formula": "Nd3PuO7",
  "functional": "GGA-PBE",
  "state": "relaxed",
  "vol_a3_per_atom": 15.56,
  "raw_formation_energy_mev_per_atom": -3254,
  "cell": [[-5.095, 4.369, 0.916], [-2.156, -6.321, 1.132], [1.973, 0.697, 7.649]],
  "species": ["O", "O", "O", "O", "O", "O", "O", "O", "O", "O", "O", "O", "O", "O", "Nd", "Nd", "Nd", "Nd", "Nd", "Nd", "Pu", "Pu"],
  "frac_coords": [[0.916, 0.084, 0.250], [0.081, 0.328, 0.528], [0.919, 0.672, 0.028], [0.920, 0.673, 0.471], [0.328, 0.081, 0.472], [0.673, 0.920, 0.529], [0.369, 0.631, 0.250], [0.084, 0.916, 0.750], [0.366, 0.634, 0.750], [0.672, 0.919, 0.972], [0.327, 0.080, 0.029], [0.631, 0.369, 0.750], [0.634, 0.366, 0.250], [0.080, 0.327, 0.971], [0.534, 0.001, 0.250], [0.500, 0.500, 0.000], [0.999, 0.466, 0.250], [0.001, 0.534, 0.750], [0.466, 0.999, 0.750], [0.500, 0.500, 0.500], [0.000, 0.000, 0.000], [0.000, 0.000, 0.500]]
}

No. 10
{
  "formula": "InPW2",
  "functional": "GGA-PBE",
  "state": "relaxed",
  "vol_a3_per_atom": 17.00,
  "total_energy_ev_per_cell": -33.701,
  "cell": [[3.209, 0.000, 0.000], [0.000, 3.209, 0.000], [0.000, 0.000, 6.603]],
  "species": ["W", "W", "In", "P"],
  "frac_coords": [[0.500, 0.500, 0.216], [0.000, 0.000, 0.969], [0.000, 0.000, 0.501], [0.500, 0.500, 0.814]]
}

No. 11
{
  "formula": "Sr2Zn2BiPd5",
  "functional": "GGA-PBE",
  "state": "relaxed",
  "vol_a3_per_atom": 20.18,
  "total_energy_ev_per_cell": -83.102,
  "cell": [[3.841, 0.000, 0.000], [0.000, 10.252, 0.000], [0.000, 0.000, 10.252]],
  "species": ["Bi", "Bi", "Pd", "Pd", "Pd", "Pd", "Pd", "Pd", "Pd", "Pd", "Pd", "Pd", "Zn", "Zn", "Zn", "Zn", "Sr", "Sr", "Sr", "Sr"],
  "frac_coords": [[0.000, 0.000, 0.000], [0.000, 0.500, 0.500], [0.500, 0.933, 0.218], [0.500, 0.218, 0.067], [0.500, 0.782, 0.933], [0.500, 0.567, 0.718], [0.500, 0.067, 0.782], [0.500, 0.718, 0.433], [0.500, 0.000, 0.500], [0.500, 0.433, 0.282], [0.500, 0.500, 0.000], [0.500, 0.282, 0.567], [0.000, 0.616, 0.884], [0.000, 0.384, 0.116], [0.000, 0.884, 0.384], [0.000, 0.116, 0.616], [0.000, 0.821, 0.679], [0.000, 0.679, 0.179], [0.000, 0.321, 0.821], [0.000, 0.179, 0.321]]
}

No. 12
{
  "formula": "Ba12Cd6Ga",
  "functional": "GGA-PBE",
  "state": "relaxed",
  "vol_a3_per_atom": 52.09,
  "total_energy_ev_per_cell": -33.475,
  "cell": [[10.166, -0.173, -0.207], [-1.712, 10.023, -0.207], [-1.712, -1.994, 9.824]],
  "species": ["Ba", "Ba", "Ba", "Ba", "Ba", "Ba", "Ba", "Ba", "Ba", "Ba", "Ba", "Ba", "Cd", "Cd", "Cd", "Cd", "Cd", "Cd", "Ga"],
  "frac_coords": [[0.419, 0.568, 0.177], [0.317, 0.065, 0.964], [0.177, 0.419, 0.568], [0.823, 0.581, 0.432], [0.683, 0.935, 0.036], [0.432, 0.823, 0.581], [0.581, 0.432, 0.823], [0.964, 0.317, 0.065], [0.036, 0.683, 0.935], [0.935, 0.036, 0.683], [0.065, 0.964, 0.317], [0.568, 0.177, 0.419], [0.135, 0.632, 0.311], [0.689, 0.865, 0.368], [0.865, 0.368, 0.689], [0.368, 0.689, 0.865], [0.632, 0.311, 0.135], [0.311, 0.135, 0.632], [0.000, 0.000, 0.000]]
}